1.
{
  "formula": "La4PrRh",
  "functional": "PBE",
  "state": "optimized geometry",
  "e_tot_ev_per_atom": -5.55,
  "delta_e_f_mev_per_atom": -240,
  "lattice_angstrom": [[8.780, -3.393, 0.000], [8.780, 3.393, 0.000], [-2.177, 0.000, 6.957]],
  "species": ["La", "La", "La", "La", "La", "La", "La", "La", "Pr", "Pr", "Rh", "Rh"],
  "fractional_positions": [[0.002, 0.191, 0.019], [0.191, 0.002, 0.519], [0.215, 0.411, 0.374], [0.411, 0.215, 0.874], [0.589, 0.785, 0.126], [0.785, 0.589, 0.626], [0.809, 0.998, 0.481], [0.998, 0.809, 0.981], [0.449, 0.551, 0.750], [0.551, 0.449, 0.250], [0.000, 0.500, 0.000], [0.500, 0.000, 0.500]]
}


2.
{
  "formula": "PuZn2Rh2",
  "functional": "PBE",
  "state": "optimized geometry",
  "e_tot_ev_per_atom": -6.71,
  "delta_e_f_mev_per_atom": -393,
  "lattice_angstrom": [[4.506, 0.000, 0.000], [2.246, 4.015, 0.000], [0.002, 1.565, 4.714]],
  "species": ["Pu", "Zn", "Zn", "Rh", "Rh"],
  "fractional_positions": [[0.000, 0.000, 0.000], [0.258, 0.485, 0.642], [0.742, 0.515, 0.358], [0.384, 0.231, 0.213], [0.616, 0.769, 0.787]]
}


3.
{
  "formula": "In14GaBi",
  "functional": "PBE",
  "state": "optimized geometry",
  "e_tot_ev_per_atom": -2.80,
  "delta_e_f_mev_per_atom": 27,
  "lattice_angstrom": [[8.992, 0.000, 0.000], [0.000, 4.915, 4.914], [0.000, -4.915, 4.914]],
  "species": ["In", "In", "In", "In", "In", "In", "In", "In", "In", "In", "In", "In", "In", "In", "Ga", "Bi"],
  "fractional_positions": [[0.000, 0.000, 0.000], [0.000, 0.000, 0.500], [0.000, 0.500, 0.000], [0.000, 0.500, 0.500], [0.250, 0.244, 0.244], [0.250, 0.244, 0.756], [0.250, 0.756, 0.244], [0.250, 0.756, 0.756], [0.500, 0.000, 0.500], [0.500, 0.500, 0.000], [0.750, 0.244, 0.244], [0.750, 0.244, 0.756], [0.750, 0.756, 0.244], [0.750, 0.756, 0.756], [0.500, 0.001, 0.001], [0.500, 0.500, 0.500]]
}


4.
{
  "formula": "AcMgZn2Ga",
  "functional": "PBE",
  "state": "optimized geometry",
  "e_tot_ev_per_atom": -2.60,
  "delta_e_f_mev_per_atom": -342,
  "lattice_angstrom": [[-2.237, 2.237, 5.620], [2.237, -2.237, 5.620], [2.237, 2.237, -5.620]],
  "species": ["Ac", "Mg", "Zn", "Zn", "Ga"],
  "fractional_positions": [[0.000, 0.000, 0.000], [0.750, 0.250, 0.500], [0.386, 0.386, 0.000], [0.614, 0.614, 0.000], [0.250, 0.750, 0.500]]
}


5.
{
  "formula": "Tc2Sb",
  "functional": "PBE",
  "state": "optimized geometry",
  "e_tot_ev_per_atom": -7.46,
  "e_above_lowest_polymorph_mev_per_atom": 720,
  "e_form_raw_ev_per_atom": 0.826,
  "lattice_angstrom": [[6.272, 0.000, 0.000], [0.000, 6.272, 0.000], [0.000, 0.000, 6.272]],
  "species": ["Tc", "Tc", "Tc", "Tc", "Tc", "Tc", "Tc", "Tc", "Sb", "Sb", "Sb", "Sb"],
  "fractional_positions": [[0.103, 0.103, 0.103], [0.103, 0.397, 0.603], [0.397, 0.603, 0.103], [0.397, 0.897, 0.603], [0.603, 0.103, 0.397], [0.603, 0.397, 0.897], [0.897, 0.603, 0.397], [0.897, 0.897, 0.897], [0.000, 0.000, 0.500], [0.000, 0.500, 0.000], [0.500, 0.000, 0.000], [0.500, 0.500, 0.500]]
}


6.
{
  "formula": "SmTmSnRu",
  "functional": "PBE",
  "state": "optimized geometry",
  "e_tot_ev_per_atom": -5.99,
  "delta_e_f_mev_per_atom": -378,
  "lattice_angstrom": [[0.000, 3.601, 3.601], [3.601, 0.000, 3.601], [3.601, 3.601, 0.000]],
  "species": ["Sm", "Tm", "Sn", "Ru"],
  "fractional_positions": [[0.000, 0.000, 0.000], [0.500, 0.500, 0.500], [0.750, 0.750, 0.750], [0.250, 0.250, 0.250]]
}


7.
{
  "formula": "MoIrS",
  "functional": "PBE",
  "state": "optimized geometry",
  "e_tot_ev_per_atom": -8.24,
  "e_form_raw_ev_per_atom": -0.299,
  "lattice_angstrom": [[2.942, 0.000, 0.000], [-1.471, 2.548, 0.000], [0.000, 0.000, 12.191]],
  "species": ["Mo", "Mo", "Ir", "Ir", "S", "S"],
  "fractional_positions": [[0.000, 0.000, 0.182], [0.000, 0.000, 0.818], [0.333, 0.667, 0.000], [0.333, 0.667, 0.500], [0.333, 0.667, 0.315], [0.333, 0.667, 0.685]]
}


8.
{
  "formula": "KSc2Fe",
  "functional": "PBE",
  "state": "optimized geometry",
  "e_tot_ev_per_atom": -4.95,
  "e_above_lowest_polymorph_mev_per_atom": 459,
  "delta_e_f_mev_per_atom": 604,
  "lattice_angstrom": [[0.000, 5.206, 5.206], [5.206, 0.000, 5.206], [5.206, 5.206, 0.000]],
  "species": ["K", "K", "Sc", "Sc", "Sc", "Sc", "Fe", "Fe"],
  "fractional_positions": [[0.125, 0.125, 0.125], [0.875, 0.875, 0.875], [0.000, 0.500, 0.500], [0.500, 0.000, 0.500], [0.500, 0.500, 0.000], [0.500, 0.500, 0.500], [0.375, 0.375, 0.375], [0.625, 0.625, 0.625]]
}


| no. | total moment (μB per cell) |
| --- | --- |
| 1 | 0.0 |
| 2 | 4.6 |
| 3 | 0.0 |
| 4 | 0.0 |
| 5 | 0.0 |
| 6 | 0.0 |
| 7 | 0.0 |
| 8 | 0.0 |